[1]
# SmHoAs (PBE, relaxed)
data_SmHoAs
_chemical_formula_sum 'Sm2 Ho2 As2'
_symmetry_space_group_name_H-M 'P 4/n m m'
_symmetry_Int_Tables_number 129
_cell_length_a 4.315
_cell_length_b 4.315
_cell_length_c 8.268
_cell_angle_alpha 90.00
_cell_angle_beta 90.00
_cell_angle_gamma 90.00
loop_
_symmetry_equiv_pos_as_xyz
'x,y,z'
'-x,-y,-z'
'-y+1/2,x,z'
'y+1/2,-x,-z'
'-x+1/2,-y+1/2,z'
'x+1/2,y+1/2,-z'
'y,-x+1/2,z'
'-y,x+1/2,-z'
'x+1/2,-y,-z'
'-x+1/2,y,z'
'-y,-x,-z'
'y,x,z'
'-x,y+1/2,-z'
'x,-y+1/2,z'
'y+1/2,x+1/2,-z'
'-y+1/2,-x+1/2,z'
loop_
_atom_site_label
_atom_site_type_symbol
_atom_site_fract_x
_atom_site_fract_y
_atom_site_fract_z
Sm1 Sm 0.250 0.250 0.143
Ho1 Ho 0.250 0.750 0.500
As1 As 0.250 0.250 0.773
# - total magnetic moment (μB/f.u.) = 0.000
# - D(E_F) (states/eV/f.u.) = 2.3



[2]
# Sm2HoAs3 (PBE, relaxed)
data_Sm2HoAs3
_chemical_formula_sum 'Sm4 Ho2 As6'
_symmetry_space_group_name_H-M 'I 4/m m m'
_symmetry_Int_Tables_number 139
_symmetry_space_group_name_Hall '-I 4 2'
_cell_length_a 4.179
_cell_length_b 4.179
_cell_length_c 17.719
_cell_angle_alpha 90.00
_cell_angle_beta 90.00
_cell_angle_gamma 90.00
loop_
_atom_site_label
_atom_site_type_symbol
_atom_site_fract_x
_atom_site_fract_y
_atom_site_fract_z
Sm1 Sm 0.000 0.000 0.166
Ho1 Ho 0.000 0.000 0.500
As1 As 0.000 0.000 0.000
As2 As 0.000 0.000 0.335
# - total magnetic moment (μB/f.u.) = 0.000
# - D(E_F) (states/eV/f.u.) = 0.7



[3]
# TbSm3Ho2As6 (PBE, relaxed)
data_TbSm3Ho2As6
_chemical_formula_sum 'Tb2 Sm6 Ho4 As12'
_symmetry_space_group_name_H-M 'C 1 2/m 1'
_symmetry_Int_Tables_number 12
_symmetry_space_group_name_Hall '-C 2y'
_cell_length_a 7.214
_cell_length_b 12.492
_cell_length_c 7.211
_cell_angle_alpha 90.00
_cell_angle_beta 109.45
_cell_angle_gamma 90.00
loop_
_atom_site_label
_atom_site_type_symbol
_atom_site_fract_x
_atom_site_fract_y
_atom_site_fract_z
Tb1 Tb 0.000 0.000 0.000
Sm1 Sm 0.000 0.166 0.500
Sm2 Sm 0.000 0.500 0.500
Ho1 Ho 0.000 0.333 0.000
As1 As 0.247 0.500 0.244
As2 As 0.249 0.167 0.244
# - total magnetic moment (μB/f.u.) = 0.000
# - D(E_F) (states/eV/f.u.) = 1.8



no.,energy relative to the elements (eV per atom)
1,-0.928
2,-1.522
3,-1.528